# Ac8SbN6 (GGA-PBE, relaxed)
data_Ac8SbN6
_chemical_formula_sum 'Ac24 Sb3 N18'
_symmetry_space_group_name_H-M 'R -3'
_symmetry_Int_Tables_number 148
_symmetry_space_group_name_Hall '-R 3'
_cell_length_a 10.6256
_cell_length_b 10.6256
_cell_length_c 12.4652
_cell_angle_alpha 90.00
_cell_angle_beta 90.00
_cell_angle_gamma 120.00
loop_
_atom_site_label
_atom_site_fract_x
_atom_site_fract_y
_atom_site_fract_z
_atom_site_occupancy
Ac1 0.0000 0.0000 0.2231 1
Ac2 0.0246 0.7276 0.0847 1
Sb1 0.0000 0.0000 0.5000 1
N1 0.0078 0.8048 0.8823 1
# Fermi-level density of states (states/eV/cell): 14.26
# Uncorrected formation energy (eV per atom): -0.916
# Raw total energy (eV/cell): -302.06
# Total magnetic moment (μB/f.u.): 2.34

***

# HoThP2 (GGA-PBE, relaxed)
data_HoThP2
_chemical_formula_sum 'Ho3 Th3 P6'
_symmetry_space_group_name_H-M 'R -3 m'
_symmetry_Int_Tables_number 166
_symmetry_space_group_name_Hall '-R 3 2"'
_cell_length_a 4.0787
_cell_length_b 4.0787
_cell_length_c 19.7952
_cell_angle_alpha 90.00
_cell_angle_beta 90.00
_cell_angle_gamma 120.00
loop_
_atom_site_label
_atom_site_fract_x
_atom_site_fract_y
_atom_site_fract_z
_atom_site_occupancy
Ho1 0.0000 0.0000 0.0000 1
Th1 0.0000 0.0000 0.5000 1
P1 0.0000 0.0000 0.2529 1
# Fermi-level density of states (states/eV/cell): 5.34
# Distance to the lowest polymorph of the same formula (meV per atom): 0
# Energy relative to the elements (meV/atom): -1582.1
# Raw total energy (eV/cell): -87.44
# Total magnetic moment (μB/f.u.): 0.00

***

# TbCeOs (GGA-PBE, relaxed)
data_TbCeOs
_chemical_formula_sum 'Tb2 Ce2 Os2'
_symmetry_space_group_name_H-M 'I 4 m m'
_symmetry_Int_Tables_number 107
_symmetry_space_group_name_Hall 'I 4 -2'
_cell_length_a 3.377
_cell_length_b 3.377
_cell_length_c 13.502
_cell_angle_alpha 90.00
_cell_angle_beta 90.00
_cell_angle_gamma 90.00
loop_
_atom_site_label
_atom_site_fract_x
_atom_site_fract_y
_atom_site_fract_z
_atom_site_occupancy
Tb1 0.000 0.000 0.000 1
Ce1 0.000 0.000 0.255 1
Os1 0.000 0.000 0.629 1
# Fermi-level density of states (states/eV/cell): 10.27
# Distance to the lowest polymorph of the same formula (meV per atom): 112
# Energy relative to the elements (meV/atom): -131.7
# Raw total energy (eV/cell): -44.38
# Total magnetic moment (μB/f.u.): 0.70

***

# MgAl2TcOs (GGA-PBE, relaxed)
data_MgAl2TcOs
_chemical_formula_sum 'Mg1 Al2 Tc1 Os1'
_symmetry_space_group_name_H-M 'P 4/m m m'
_symmetry_Int_Tables_number 123
_symmetry_space_group_name_Hall '-P 4 2'
_cell_length_a 4.570
_cell_length_b 4.570
_cell_length_c 4.738
_cell_angle_alpha 90.00
_cell_angle_beta 90.00
_cell_angle_gamma 90.00
loop_
_atom_site_label
_atom_site_fract_x
_atom_site_fract_y
_atom_site_fract_z
_atom_site_occupancy
Mg1 0.000 0.000 0.000 1
Al1 0.000 0.500 0.500 1
Tc1 0.000 0.000 0.500 1
Os1 0.500 0.500 0.000 1
# Fermi-level density of states (states/eV/cell): 5.19
# Energy relative to the elements (meV/atom): 1249.6
# Raw total energy (eV/cell): -24.43
# Total magnetic moment (μB/f.u.): 1.52

***

# TbHoZr (GGA-PBE, relaxed)
data_TbHoZr
_chemical_formula_sum 'Tb2 Ho2 Zr2'
_symmetry_space_group_name_H-M 'P 1 21/m 1'
_symmetry_Int_Tables_number 11
_cell_length_a 3.346
_cell_length_b 4.990
_cell_length_c 10.187
_cell_angle_alpha 90.00
_cell_angle_beta 99.26
_cell_angle_gamma 90.00
loop_
_symmetry_equiv_pos_as_xyz
'x,y,z'
'-x,-y,-z'
'-x,y+1/2,-z'
'x,-y+1/2,z'
loop_
_atom_site_label
_atom_site_fract_x
_atom_site_fract_y
_atom_site_fract_z
_atom_site_occupancy
Tb1 0.054 0.250 0.096 1
Ho1 0.367 0.250 0.739 1
Zr1 0.214 0.250 0.426 1
# Fermi-level density of states (states/eV/cell): 8.35
# Distance to the lowest polymorph of the same formula (meV per atom): 51
# Energy relative to the elements (meV/atom): 128.5
# Raw total energy (eV/cell): -34.74
# Total magnetic moment (μB/f.u.): 0.00

***

# Li6PrSn6 (GGA-PBE, relaxed)
data_Li6PrSn6
_chemical_formula_sum 'Li12 Pr2 Sn12'
_symmetry_space_group_name_H-M 'I m m m'
_symmetry_Int_Tables_number 71
_symmetry_space_group_name_Hall '-I 2 2'
_cell_length_a 5.843
_cell_length_b 9.490
_cell_length_c 9.957
_cell_angle_alpha 90.00
_cell_angle_beta 90.00
_cell_angle_gamma 90.00
loop_
_atom_site_label
_atom_site_fract_x
_atom_site_fract_y
_atom_site_fract_z
_atom_site_occupancy
Li1 0.000 0.248 0.000 1
Li2 0.250 0.250 0.250 1
Pr1 0.000 0.500 0.500 1
Sn1 0.000 0.000 0.169 1
Sn2 0.000 0.152 0.500 1
Sn3 0.000 0.500 0.162 1
# Fermi-level density of states (states/eV/cell): 10.09
# Distance to the lowest polymorph of the same formula (meV per atom): 0
# Energy relative to the elements (meV/atom): -392.5
# Raw total energy (eV/cell): -90.76
# Total magnetic moment (μB/f.u.): 0.00

***

# TbPmNd2Se6 (GGA-PBE, relaxed)
data_TbPmNd2Se6
_chemical_formula_sum 'Tb3 Pm3 Nd6 Se18'
_symmetry_space_group_name_H-M 'R 3'
_symmetry_Int_Tables_number 146
_symmetry_space_group_name_Hall 'R 3'
_cell_length_a 7.4149
_cell_length_b 7.4149
_cell_length_c 19.7562
_cell_angle_alpha 90.00
_cell_angle_beta 90.00
_cell_angle_gamma 120.00
loop_
_atom_site_label
_atom_site_fract_x
_atom_site_fract_y
_atom_site_fract_z
_atom_site_occupancy
Tb1 0.0000 0.0000 0.0000 1
Pm1 0.0000 0.0000 0.4978 1
Nd1 0.0000 0.0000 0.2008 1
Nd2 0.0000 0.0000 0.6991 1
Se1 0.0061 0.7054 0.0967 1
Se2 0.0141 0.3103 0.5973 1
# Fermi-level density of states (states/eV/cell): 0.00
# Uncorrected formation energy (eV per atom): -1.843
# Raw total energy (eV/cell): -174.77
# Total magnetic moment (μB/f.u.): 0.00

***

# PrIn2GaAu2 (GGA-PBE, relaxed)
data_PrIn2GaAu2
_chemical_formula_sum 'Pr2 In4 Ga2 Au4'
_symmetry_space_group_name_H-M 'I 4/m m m'
_symmetry_Int_Tables_number 139
_symmetry_space_group_name_Hall '-I 4 2'
_cell_length_a 5.452
_cell_length_b 5.452
_cell_length_c 11.205
_cell_angle_alpha 90.00
_cell_angle_beta 90.00
_cell_angle_gamma 90.00
loop_
_atom_site_label
_atom_site_fract_x
_atom_site_fract_y
_atom_site_fract_z
_atom_site_occupancy
Pr1 0.000 0.000 0.000 1
In1 0.000 0.500 0.250 1
Ga1 0.000 0.000 0.500 1
Au1 0.000 0.000 0.279 1
# Fermi-level density of states (states/eV/cell): 7.15
# Energy relative to the elements (meV/atom): -112.2
# Raw total energy (eV/cell): -41.02
# Total magnetic moment (μB/f.u.): 0.00

***

Which value of total magnetic moment does entry 2 give?
0.00 μB/f.u.

***

Look up the raw total energy of the eighth one.
-41.02 eV/cell

***

The lowest Fermi-level density of states belongs to which entry?
TbPmNd2Se6